VCr4Ga after structural relaxation. Source: the Alexandria database, functional PBE.

Geometry as POSCAR:
```
VCr4Ga
1.0
2.9114 0.0019 0.0018
1.4537 4.3441 1.4266
-0.0052 -0.0405 5.8268
V Cr Ga
1 4 1
Direct
0.5006 0.4954 0.5019
0.1822 0.1321 0.8325
0.8189 0.8587 0.1713
0.1726 0.1522 0.3416
0.8285 0.8387 0.6621
0.5005 0.4955 0.0018
```

ΔE_f: -28 kJ/mol of formula units
Calculated density: 7.39 g cm⁻³
E: -8.488 eV/atom
DOS at the Fermi energy: 0.754 states/eV per atom
Space group: C2/m
Polymorph energy (0 for the lowest one): 0.0000 eV/atom

---

VCr2Ga after structural relaxation. Source: the Alexandria database, functional PBE.

Geometry as POSCAR:
```
VCr2Ga
1.0
-2.2831 0.8151 -0.3786
-0.1450 -2.1192 -3.6885
-1.8150 -3.9873 2.3622
V Cr Ga
1 2 1
Direct
0.0000 0.1228 0.3587
0.0000 0.1228 0.8457
0.0000 0.6228 0.1014
0.5000 0.6227 0.6065
```

ΔE_f: 108 kJ/mol of formula units
Calculated density: 7.18 g cm⁻³
E: -7.569 eV/atom
DOS at the Fermi energy: 1.101 states/eV per atom
Space group: Pmm2

---

V8CrGa5 after structural relaxation. Source: the Alexandria database, functional PBE.

Geometry as POSCAR:
```
V8CrGa5
1.0
6.4113 -0.0084 0.0145
-2.1773 6.0303 -0.0145
-2.0568 -3.0533 5.2490
V Cr Ga
8 1 5
Direct
0.1418 0.7191 0.0195
0.9805 0.1224 0.6996
0.7745 0.2589 0.3785
0.6215 0.3960 0.8804
0.4844 0.6040 0.2255
0.5773 0.8776 0.8582
0.3004 0.2809 0.4227
0.1196 0.7411 0.5156
0.2500 0.5000 0.7500
0.9935 0.3478 0.1179
0.8821 0.8756 0.2299
0.7701 0.6522 0.6457
0.5000 0.0000 0.5000
0.3543 0.1244 0.0065
```

ΔE_f: 63 kJ/mol of formula units
Calculated density: 6.62 g cm⁻³
E: -6.932 eV/atom
DOS at the Fermi energy: 0.878 states/eV per atom
Space group: I-4

---

V5CrGa4 after structural relaxation. Source: the Alexandria database, functional PBE.

Geometry as POSCAR:
```
V5CrGa4
1.0
-3.3589 3.7341 -2.0963
-3.7677 -1.8139 -4.2588
-5.3001 0.6899 2.6564
V Cr Ga
5 1 4
Direct
0.9676 0.3313 0.8289
0.2989 0.8289 0.6687
0.7965 0.1711 0.3313
0.1278 0.6687 0.1711
0.3119 0.0000 0.0000
0.7997 0.0000 0.0000
0.4785 0.3605 0.7865
0.8390 0.7865 0.6395
0.2650 0.2135 0.3605
0.6255 0.6395 0.2135
```

ΔE_f: 149 kJ/mol of formula units
Calculated density: 6.33 g cm⁻³
E: -6.578 eV/atom
DOS at the Fermi energy: 0.443 states/eV per atom
Space group: I4

---

VCr3Ga after structural relaxation. Source: the Alexandria database, functional PBE.

Geometry as POSCAR:
```
VCr3Ga
1.0
-4.1861 -0.7909 0.2146
0.5326 -3.4743 -2.4167
0.6229 -2.3449 3.5084
Cr Ga V
3 1 1
Direct
0.0000 0.5000 0.0000
0.0000 0.0000 0.5000
0.5000 0.0000 0.0000
0.5000 0.5000 0.5000
0.0000 0.0000 0.0000
```

ΔE_f: 580 kJ/mol of formula units
Calculated density: 5.92 g cm⁻³
E: -7.001 eV/atom
DOS at the Fermi energy: 1.560 states/eV per atom
Space group: Pm-3m
Polymorph energy (0 for the lowest one): 0.0000 eV/atom

---

V2Cr8Ga after structural relaxation. Source: the Alexandria database, functional PBE.

Geometry as POSCAR:
```
V2Cr8Ga
1.0
2.7818 -0.0003 0.5024
-0.3044 6.3306 1.6889
-0.0346 0.3603 8.1447
V Cr Ga
2 8 1
Direct
0.3442 0.3184 0.2811
0.6557 0.6822 0.6583
0.8896 0.6427 0.1898
0.1783 0.9986 0.6130
0.2789 0.6793 0.4115
0.4821 0.3159 0.0029
0.7206 0.3212 0.5279
0.8216 0.0019 0.3264
0.1097 0.3578 0.7496
0.5153 0.6846 0.9365
0.9986 0.0003 0.9697
```

ΔE_f: 398 kJ/mol of formula units
Calculated density: 6.88 g cm⁻³
E: -8.557 eV/atom
DOS at the Fermi energy: 1.070 states/eV per atom
Space group: C2/m

---

V5CrGa5 after structural relaxation. Source: the Alexandria database, functional PBE.

Geometry as POSCAR:
```
V5CrGa5
1.0
-3.1714 -2.8657 0.9662
3.4677 -1.5961 -3.2895
3.8437 -1.7260 7.4969
V Cr Ga
5 1 5
Direct
0.7715 0.5430 0.1025
0.8891 0.7782 0.7468
0.5000 0.0000 0.0000
0.1109 0.2218 0.2532
0.2285 0.4570 0.8975
0.0000 0.0000 0.0000
0.6986 0.3971 0.4120
0.6003 0.2006 0.7415
0.0000 0.0000 0.5000
0.3997 0.7994 0.2585
0.3014 0.6029 0.5880
```

ΔE_f: 196 kJ/mol of formula units
Calculated density: 6.52 g cm⁻³
E: -6.211 eV/atom
DOS at the Fermi energy: 0.873 states/eV per atom
Space group: C2/m

---

VCr4Ga after structural relaxation. Source: the Alexandria database, functional PBE.

Geometry as POSCAR:
```
VCr4Ga
1.0
-4.0667 -2.4506 0.1397
-1.0285 -2.6811 3.7838
-3.4645 1.3151 2.9717
Cr Ga V
4 1 1
Direct
0.6260 0.6260 0.1219
0.6260 0.1219 0.6260
0.6260 0.6260 0.6260
0.1219 0.6260 0.6260
0.0000 0.0000 0.0000
0.2500 0.2500 0.2500
```

ΔE_f: 19 kJ/mol of formula units
Calculated density: 7.20 g cm⁻³
E: -8.408 eV/atom
DOS at the Fermi energy: 0.509 states/eV per atom
Space group: F-43m
Polymorph energy (0 for the lowest one): 0.0801 eV/atom

---

VCr2Ga after structural relaxation. Source: the Alexandria database, functional PBE.

Geometry as POSCAR:
```
VCr2Ga
1.0
3.1136 0.0000 0.0000
0.0000 4.0791 0.0000
0.0000 0.0000 4.0791
Cr Ga V
2 1 1
Direct
0.0000 0.0000 0.5000
0.0000 0.5000 0.0000
0.5000 0.0000 0.0000
0.5000 0.5000 0.5000
```

ΔE_f: -7 kJ/mol of formula units
Calculated density: 7.20 g cm⁻³
E: -7.867 eV/atom
DOS at the Fermi energy: 1.176 states/eV per atom
Space group: P4/mmm

---

V2CrGa2 after structural relaxation. Source: the Alexandria database, functional PBE.

Geometry as POSCAR:
```
V2CrGa2
1.0
6.5455 0.0000 0.0000
0.0000 6.5455 0.0000
0.0000 0.0000 3.3402
Cr Ga V
2 4 4
Direct
0.0000 0.0000 0.0000
0.5000 0.5000 0.0000
0.3670 0.8670 0.0000
0.8670 0.6330 0.0000
0.6330 0.1330 0.0000
0.1330 0.3670 0.0000
0.1701 0.6701 0.5000
0.6701 0.8299 0.5000
0.8299 0.3299 0.5000
0.3299 0.1701 0.5000
```

ΔE_f: -10 kJ/mol of formula units
Calculated density: 6.81 g cm⁻³
E: -6.804 eV/atom
DOS at the Fermi energy: 0.371 states/eV per atom
Space group: P4/mbm
Polymorph energy (0 for the lowest one): 0.0804 eV/atom

---

V2CrGa after structural relaxation. Source: the Alexandria database, functional PBE.

Geometry as POSCAR:
```
V2CrGa
1.0
6.7031 0.0000 0.0000
0.0000 6.7031 0.0000
3.3516 3.3516 2.5331
Cr Ga V
2 2 4
Direct
0.5000 0.5000 0.0000
0.2500 0.7500 0.5000
0.0000 0.0000 0.0000
0.7500 0.2500 0.5000
0.5893 0.1250 0.2500
0.1607 0.6250 0.2500
0.3750 0.4107 0.7500
0.8750 0.8393 0.7500
```

ΔE_f: 157 kJ/mol of formula units
Calculated density: 6.52 g cm⁻³
E: -7.314 eV/atom
DOS at the Fermi energy: 0.889 states/eV per atom
Space group: I-42d

---

V3Cr2Ga3 after structural relaxation. Source: the Alexandria database, functional PBE.

Geometry as POSCAR:
```
V3Cr2Ga3
1.0
3.0304 -0.0004 0.0000
0.0005 4.2606 0.5047
1.5148 2.0682 8.5950
V Cr Ga
3 2 3
Direct
0.3717 0.9282 0.2571
0.5000 0.5000 0.0000
0.6283 0.0718 0.7429
0.7619 0.7683 0.4757
0.2381 0.2317 0.5243
0.8643 0.4155 0.2721
0.1357 0.5845 0.7279
0.0000 0.0000 0.0000
```

ΔE_f: -77 kJ/mol of formula units
Calculated density: 7.18 g cm⁻³
E: -7.060 eV/atom
DOS at the Fermi energy: 0.789 states/eV per atom
Space group: P-1